<A>
Ir3C | PBE | relaxed

Cell: 2.692 4.972 7.911 Å, 90.00 90.00 90.00°
Fractional positions:
1 Ir 0.000 0.000 0.000
2 Ir 0.000 0.500 0.305
3 Ir 0.000 0.500 0.695
4 Ir 0.500 0.000 0.305
5 Ir 0.500 0.000 0.695
6 Ir 0.500 0.500 0.000
7 C 0.000 0.000 0.500
8 C 0.500 0.500 0.500

## Properties
Calculated volume = 105.9 Å³ per cell
Symmetry = No. 65
Spin magnetization = 0.0 μB per formula unit

=====

<B>
Ir3C | PBE | relaxed

Cell: 3.920 2.751 5.126 Å, 90.00 108.24 90.00°
Fractional positions:
1 Ir 0.000 0.000 0.000
2 Ir 0.372 0.500 0.717
3 Ir 0.628 0.500 0.283
4 C 0.000 0.000 0.500

## Properties
Calculated volume = 52.5 Å³ per cell
Symmetry = No. 10
Spin magnetization = 0.0 μB per formula unit

=====

<C>
Ir3C | PBE | relaxed

Cell: 2.734 2.734 6.617 Å, 90.00 90.00 90.00°
Fractional positions:
1 Ir 0.000 0.000 0.000
2 Ir 0.500 0.500 0.299
3 Ir 0.500 0.500 0.701
4 C 0.000 0.000 0.500

## Properties
Calculated volume = 49.5 Å³ per cell
Symmetry = No. 123
Spin magnetization = 0.0 μB per formula unit

=====

<D>
Ir3C | PBE | relaxed

Cell: 4.012 4.012 4.012 Å, 90.00 90.00 90.00°
Fractional positions:
1 Ir 0.000 0.000 0.500
2 Ir 0.000 0.500 0.000
3 Ir 0.500 0.000 0.000
4 C 0.000 0.000 0.000

## Properties
Calculated volume = 64.6 Å³ per cell
Symmetry = No. 221
Spin magnetization = 0.0 μB per formula unit

=====

Most stable structure among those shown: <B>.